! MnZnTc2, relaxed, DFT GGA-PBEsol; values from VASP
! Size of the total moment: 2.2 μB/cell
! Total energy: -8.340 eV per atom
! Calculated density: 9.9 g/cm³
! Symmetry: Pmm2 (25)
&SYSTEM
  ibrav = 0, nat = 4, ntyp = 3
/
ATOMIC_SPECIES
Tc 98.00 Tc.upf
Mn 54.94 Mn.upf
Zn 65.41 Zn.upf
ATOMIC_POSITIONS crystal
Tc 0.500 0.500 0.241
Tc 0.000 0.000 0.006
Mn 0.500 0.500 0.744
Zn 0.000 0.000 0.510
CELL_PARAMETERS angstrom
-0.080 1.383 -2.303
-2.257 -2.635 -1.504
-4.190 2.611 1.713